Density functional theory data (meta-GGA SCAN) for a PBEsol-optimized structure of In2FeW.

space group = F-43m (216)
DFT formation energy = 0.793 eV per atom
mass density = 11.6 g/cm3
polymorph energy (0 for the lowest one) = 1.752 eV per formula unit
raw total energy = -37.85 eV per atom

```
In2FeW
1.0
0.000 3.222 3.222
3.222 0.000 3.222
3.222 3.222 0.000
In Fe W
2 1 1
Direct
0.000 0.000 0.000
0.250 0.250 0.250
0.750 0.750 0.750
0.500 0.500 0.500
```